[1]
KYZn2 | PBE | relaxed

Summary:
Its uncorrected energy is -2.410 eV per atom. The calculation puts the formation energy at 118 meV/atom. The calculation puts the density of states at the Fermi level at 0.51 states/eV/atom. The offset from the most stable computed form is 0.59 eV/f.u.

a b c (Å): 6.483 6.483 5.505
angles (deg): 114.30 114.30 29.43
Fractional coordinates of all 4 atoms:
K 0.000 0.000 0.000
Y 0.806 0.806 0.312
Zn 0.229 0.229 0.738
Zn 0.544 0.544 0.542

---

[2]
GeBCN2 | PBE | relaxed

Summary:
Its uncorrected energy is -5.698 eV per atom. The calculation puts the density of states at the Fermi level at 0.53 states/eV/atom.

a b c (Å): 3.866 3.866 2.970
angles (deg): 90.00 90.00 90.00
Fractional coordinates of all 5 atoms:
Ge 0.000 0.000 0.000
B 0.500 0.500 0.500
C 0.500 0.500 0.000
N 0.000 0.500 0.500
N 0.500 0.000 0.500

---

[3]
CaZnS | PBE | relaxed

Summary:
Its uncorrected energy is -3.406 eV per atom. The calculation puts the density of states at the Fermi level at 0.00 states/eV/atom. The offset from the most stable computed form is 0.66 eV/f.u.

a b c (Å): 3.918 3.918 5.315
angles (deg): 90.00 90.00 120.00
Fractional coordinates of all 3 atoms:
Ca 0.000 0.000 0.000
Zn 0.333 0.667 0.428
S 0.667 0.333 0.699

---

[4]
LaSm2IO8 | PBE | relaxed

Summary:
Its uncorrected energy is -6.917 eV per atom. The calculation puts the density of states at the Fermi level at 0.00 states/eV/atom.

a b c (Å): 5.131 7.142 5.135
angles (deg): 90.00 90.12 90.00
Fractional coordinates of all 12 atoms:
La 0.000 0.000 0.000
Sm 0.500 0.252 0.500
Sm 0.500 0.748 0.500
I 0.000 0.500 0.000
O 0.179 0.303 0.819
O 0.179 0.697 0.819
O 0.263 0.500 0.261
O 0.315 0.000 0.313
O 0.685 0.000 0.687
O 0.737 0.500 0.739
O 0.821 0.303 0.181
O 0.821 0.697 0.181

---

[5]
PrSmPbSe | PBE | relaxed

Summary:
Its uncorrected energy is -5.365 eV per atom. The calculation puts the density of states at the Fermi level at 0.24 states/eV/atom.

a b c (Å): 4.405 4.405 6.268
angles (deg): 90.00 90.00 90.00
Fractional coordinates of all 4 atoms:
Pr 0.000 0.000 0.000
Sm 0.500 0.500 0.500
Pb 0.000 0.000 0.500
Se 0.500 0.500 0.000

---

[6]
CePr4Pu3S8 | PBE | relaxed

Summary:
Its uncorrected energy is -8.258 eV per atom. The calculation puts the density of states at the Fermi level at 1.77 states/eV/atom.

a b c (Å): 8.100 8.100 8.100
angles (deg): 59.70 59.70 59.70
Fractional coordinates of all 16 atoms:
Ce 0.000 0.000 0.000
Pr 0.000 0.000 0.500
Pr 0.000 0.500 0.000
Pr 0.500 0.000 0.000
Pr 0.500 0.500 0.500
Pu 0.000 0.500 0.500
Pu 0.500 0.000 0.500
Pu 0.500 0.500 0.000
S 0.248 0.248 0.743
S 0.248 0.743 0.248
S 0.255 0.255 0.255
S 0.257 0.752 0.752
S 0.743 0.248 0.248
S 0.745 0.745 0.745
S 0.752 0.257 0.752
S 0.752 0.752 0.257

---

[7]
CaH2Os | PBE | relaxed

Summary:
Its uncorrected energy is -4.851 eV per atom. The calculation puts the density of states at the Fermi level at 0.07 states/eV/atom. The offset from the most stable computed form is 0.00 eV/f.u.

a b c (Å): 5.898 5.898 5.898
angles (deg): 136.32 136.32 63.49
Fractional coordinates of all 8 atoms:
Ca 0.000 0.000 0.000
Ca 0.750 0.250 0.500
H 0.235 0.625 0.110
H 0.375 0.485 0.610
H 0.515 0.125 0.890
H 0.875 0.765 0.390
Os 0.250 0.750 0.500
Os 0.500 0.500 0.000

---

[8]
AcLa2ErAs4 | PBE | relaxed

Summary:
Its uncorrected energy is -6.135 eV per atom. The calculation puts the formation energy at -1495 meV/atom. The calculation puts the density of states at the Fermi level at 0.08 states/eV/atom.

a b c (Å): 7.534 4.360 7.540
angles (deg): 90.00 109.42 90.00
Fractional coordinates of all 8 atoms:
Ac 0.000 0.000 0.000
La 0.500 0.000 0.500
La 0.500 0.500 0.000
Er 0.000 0.500 0.500
As 0.243 0.000 0.737
As 0.251 0.500 0.262
As 0.749 0.500 0.738
As 0.757 0.000 0.263

---

[9]
PtS2N2 | PBE | relaxed

Summary:
Its uncorrected energy is -6.397 eV per atom. The calculation puts the density of states at the Fermi level at 0.00 states/eV/atom. The offset from the most stable computed form is 0.00 eV/f.u.

a b c (Å): 3.586 3.586 10.529
angles (deg): 91.17 91.17 60.01
Fractional coordinates of all 5 atoms:
Pt 0.000 0.000 0.000
S 0.329 0.329 0.884
S 0.671 0.671 0.116
N 0.009 0.009 0.447
N 0.991 0.991 0.553

---

[10]
Cs2SbBr4 | PBE | relaxed

Summary:
Its uncorrected energy is -2.989 eV per atom. The offset from the most stable computed form is 0.00 eV/f.u.

a b c (Å): 7.616 7.616 7.616
angles (deg): 113.26 113.26 102.13
Fractional coordinates of all 7 atoms:
Cs 0.250 0.750 0.500
Cs 0.750 0.250 0.500
Sb 0.000 0.000 0.000
Br 0.239 0.239 0.477
Br 0.239 0.761 0.000
Br 0.761 0.239 0.000
Br 0.761 0.761 0.523

---

[11]
TbThAs2 | PBE | relaxed

Summary:
Its uncorrected energy is -6.812 eV per atom. The calculation puts the formation energy at -1475 meV/atom. The calculation puts the density of states at the Fermi level at 0.46 states/eV/atom. The offset from the most stable computed form is 0.00 eV/f.u.

a b c (Å): 7.237 7.237 7.237
angles (deg): 33.80 33.80 33.80
Fractional coordinates of all 4 atoms:
Tb 0.000 0.000 0.000
Th 0.500 0.500 0.500
As 0.252 0.252 0.252
As 0.748 0.748 0.748

---

[12]
Y4USb5 | PBE | relaxed

Summary:
Its uncorrected energy is -6.737 eV per atom. The calculation puts the density of states at the Fermi level at 0.94 states/eV/atom.

a b c (Å): 7.597 7.597 7.597
angles (deg): 99.61 99.61 131.76
Fractional coordinates of all 10 atoms:
Y 0.099 0.300 0.400
Y 0.300 0.901 0.201
Y 0.700 0.099 0.799
Y 0.901 0.700 0.600
U 0.500 0.500 0.000
Sb 0.000 0.000 0.000
Sb 0.202 0.599 0.801
Sb 0.401 0.202 0.603
Sb 0.599 0.798 0.397
Sb 0.798 0.401 0.199

---

[13]
Ag2BiPbBr | PBE | relaxed

Summary:
Its uncorrected energy is -2.575 eV per atom. The calculation puts the density of states at the Fermi level at 0.22 states/eV/atom.

a b c (Å): 5.137 5.137 5.993
angles (deg): 90.00 90.00 90.00
Fractional coordinates of all 5 atoms:
Ag 0.000 0.500 0.000
Ag 0.500 0.000 0.000
Bi 0.000 0.000 0.500
Pb 0.500 0.500 0.500
Br 0.500 0.500 0.000

---

[14]
SrZrW2 | PBE | relaxed

Summary:
Its uncorrected energy is -8.291 eV per atom. The calculation puts the formation energy at 743 meV/atom. The calculation puts the density of states at the Fermi level at 0.87 states/eV/atom. The offset from the most stable computed form is 0.90 eV/f.u.

a b c (Å): 3.724 3.724 7.050
angles (deg): 90.00 90.00 90.00
Fractional coordinates of all 4 atoms:
Sr 0.000 0.000 0.000
Zr 0.000 0.000 0.500
W 0.500 0.500 0.331
W 0.500 0.500 0.669

---

[15]
NdPt2Au8 | PBE | relaxed

Summary:
Its uncorrected energy is -4.069 eV per atom. The calculation puts the formation energy at -153 meV/atom. The calculation puts the density of states at the Fermi level at 0.34 states/eV/atom.

a b c (Å): 7.382 7.382 4.214
angles (deg): 90.00 90.00 108.20
Fractional coordinates of all 11 atoms:
Nd 0.000 0.000 0.000
Pt 0.387 0.613 0.500
Pt 0.613 0.387 0.500
Au 0.037 0.316 0.500
Au 0.249 0.751 0.000
Au 0.316 0.037 0.500
Au 0.335 0.335 0.000
Au 0.665 0.665 0.000
Au 0.684 0.963 0.500
Au 0.751 0.249 0.000
Au 0.963 0.684 0.500

---

[16]
Na4BeH6 | PBE | relaxed

Summary:
Its uncorrected energy is -2.852 eV per atom. The calculation puts the density of states at the Fermi level at 0.00 states/eV/atom.

a b c (Å): 6.125 6.125 10.814
angles (deg): 111.46 111.46 56.98
Fractional coordinates of all 22 atoms:
Na 0.109 0.891 0.500
Na 0.225 0.468 0.006
Na 0.427 0.804 0.847
Na 0.468 0.225 0.506
Na 0.652 0.931 0.191
Na 0.804 0.427 0.347
Na 0.891 0.109 0.000
Na 0.931 0.652 0.691
Be 0.284 0.842 0.256
Be 0.842 0.284 0.756
H 0.070 0.562 0.512
H 0.102 0.150 0.723
H 0.112 0.721 0.210
H 0.150 0.102 0.223
H 0.164 0.726 0.892
H 0.392 0.863 0.403
H 0.511 0.662 0.189
H 0.562 0.070 0.012
H 0.662 0.511 0.689
H 0.721 0.112 0.710
H 0.726 0.164 0.392
H 0.863 0.392 0.903

---

[17]
RbHfPb2O | PBE | relaxed

Summary:
Its uncorrected energy is -5.122 eV per atom. The calculation puts the density of states at the Fermi level at 0.48 states/eV/atom.

a b c (Å): 6.287 6.287 3.918
angles (deg): 90.00 90.00 90.00
Fractional coordinates of all 5 atoms:
Rb 0.000 0.000 0.000
Hf 0.500 0.500 0.000
Pb 0.000 0.500 0.500
Pb 0.500 0.000 0.500
O 0.500 0.500 0.500

---

[18]
InCuHPd2 | PBE | relaxed

Summary:
Its uncorrected energy is -4.390 eV per atom. The calculation puts the density of states at the Fermi level at 0.35 states/eV/atom. The offset from the most stable computed form is 0.00 eV/f.u.

a b c (Å): 4.080 4.080 3.936
angles (deg): 90.00 90.00 90.00
Fractional coordinates of all 5 atoms:
In 0.000 0.000 0.000
Cu 0.500 0.500 0.000
H 0.500 0.500 0.500
Pd 0.000 0.500 0.500
Pd 0.500 0.000 0.500

---

[19]
ZrTa2Cd | PBE | relaxed

Summary:
Its uncorrected energy is -8.006 eV per atom. The calculation puts the formation energy at 286 meV/atom. The calculation puts the density of states at the Fermi level at 1.28 states/eV/atom.

a b c (Å): 5.496 5.496 2.904
angles (deg): 90.00 90.00 114.66
Fractional coordinates of all 4 atoms:
Zr 0.000 0.000 0.000
Ta 0.000 0.500 0.500
Ta 0.500 0.000 0.500
Cd 0.500 0.500 0.000

---

[20]
LaZrCl | PBE | relaxed

Summary:
Its uncorrected energy is -5.828 eV per atom. The calculation puts the density of states at the Fermi level at 0.35 states/eV/atom. The offset from the most stable computed form is 0.57 eV/f.u.

a b c (Å): 8.846 8.846 8.846
angles (deg): 32.14 32.14 32.14
Fractional coordinates of all 6 atoms:
La 0.000 0.000 0.000
La 0.160 0.160 0.160
Zr 0.415 0.415 0.415
Zr 0.747 0.747 0.747
Cl 0.630 0.630 0.630
Cl 0.872 0.872 0.872

---

V for every record listed, in sequence, given in Å³/atom: 25.72; 8.88; 23.55; 15.68; 30.40; 23.32; 12.07; 29.20; 23.45; 47.99; 26.14; 29.85; 31.63; 24.44; 19.83; 14.06; 30.97; 13.11; 19.93; 29.03.